DFT (PBE) results for crystalline SrLiTa at its relaxed geometry.

## Properties
E_form = 181 kJ/mol of formula units
Electronic total energy = -13.57 eV per formula unit
Crystal system = orthorhombic
Theoretical density = 5.8 g/cm3

```
12
Lattice="4.832 0.000 0.000 0.000 5.596 0.000 0.000 0.000 11.739" Properties=species:S:1:pos:R:3 pbc="T T T"
Ta 3.621 4.197 8.371
Ta 1.211 1.399 3.367
Ta 1.205 4.197 9.236
Ta 3.627 1.399 2.502
Li 3.618 4.197 3.528
Li 3.630 1.399 9.397
Li 1.214 1.399 8.211
Li 1.202 4.197 2.342
Sr 1.206 4.197 5.866
Sr 3.622 4.197 0.003
Sr 3.626 1.399 5.872
Sr 1.210 1.399 11.735
```